--- w ---
The following is a DFT calculation (GGA-PBE) of a geometry-optimized ErUSb2 structure.

Cell lengths 4.3168, 4.3168, 21.8237 Å; angles 90.00, 90.00, 120.00 degrees
Space group R-3m (No. 166, hexagonal axes)
Unique sites:
Er  0.0000  0.0000  0.0000 [3 per cell]
U  0.0000  0.0000  0.5000 [3 per cell]
Sb  0.0000  0.0000  0.2513 [6 per cell]

Mass density: 9.18 g/cm3
D(E_F): 3.8 states/eV/f.u.
Volume: 29.35 A^3/atom

=====

--- x ---
The following is a DFT calculation (GGA-PBE) of a geometry-optimized ErUSb2 structure.

Cell lengths 4.0384, 4.0384, 29.8210 Å; angles 90.00, 90.00, 120.00 degrees
Space group R-3m (No. 166, hexagonal axes)
Unique sites:
Er  0.0000  0.0000  0.0000 [3 per cell]
U  0.0000  0.0000  0.5000 [3 per cell]
Sb  0.0000  0.0000  0.1000 [6 per cell]

Mass density: 7.67 g/cm3
D(E_F): 9.7 states/eV/f.u.
Volume: 35.10 A^3/atom

=====

--- y ---
The following is a DFT calculation (GGA-PBE) of a geometry-optimized ErUSb2 structure.

Cell lengths 5.251, 5.251, 3.792 Å; angles 90.00, 90.00, 90.00 degrees
Space group P4/mmm (No. 123)
Unique sites:
Er  0.000  0.000  0.000 [1 per cell]
U  0.500  0.500  0.000 [1 per cell]
Sb  0.000  0.500  0.500 [2 per cell]

Mass density: 10.30 g/cm3
D(E_F): 5.5 states/eV/f.u.
Volume: 26.14 A^3/atom

=====

Order of stability, best first: w, y, x

=====

--- w ---
The following is a DFT calculation (GGA-PBE) of a geometry-optimized YErSb2 structure.

Cell lengths 4.3414, 4.3414, 22.1850 Å; angles 90.00, 90.00, 120.00 degrees
Space group R3m (No. 160, hexagonal axes)
Unique sites:
Y  0.0000  0.0000  0.0000 [3 per cell]
Er  0.0000  0.0000  0.8294 [3 per cell]
Sb  0.0000  0.0000  0.2460 [3 per cell]
Sb  0.0000  0.0000  0.4172 [3 per cell]

Mass density: 6.87 g/cm3
D(E_F): 0.5 states/eV/f.u.
Volume: 30.18 A^3/atom

=====

--- x ---
The following is a DFT calculation (GGA-PBE) of a geometry-optimized YErSb2 structure.

Cell lengths 4.3469, 4.3469, 7.4453 Å; angles 90.00, 90.00, 120.00 degrees
Space group P-3m1 (No. 164)
Unique sites:
Y  0.0000  0.0000  0.0000 [1 per cell]
Er  0.0000  0.0000  0.5000 [1 per cell]
Sb  0.3333  0.6667  0.7472 [2 per cell]

Mass density: 6.81 g/cm3
D(E_F): 0.7 states/eV/f.u.
Volume: 30.46 A^3/atom

=====

--- y ---
The following is a DFT calculation (GGA-PBE) of a geometry-optimized YErSb2 structure.

Cell lengths 4.3594, 4.3594, 14.4232 Å; angles 90.00, 90.00, 120.00 degrees
Space group P6_3/mmc (No. 194)
Unique sites:
Y  0.3333  0.6667  0.2500 [2 per cell]
Er  0.0000  0.0000  0.0000 [2 per cell]
Sb  0.3333  0.6667  0.6213 [4 per cell]

Mass density: 6.99 g/cm3
D(E_F): 0.7 states/eV/f.u.
Volume: 29.67 A^3/atom

=====

Order of stability, best first: x, y, w

=====

--- w ---
The following is a DFT calculation (GGA-PBE) of a geometry-optimized YEr2Sb structure.

Cell lengths 7.585, 7.585, 7.585 Å; angles 90.00, 90.00, 90.00 degrees
Space group Fm-3m (No. 225)
Unique sites:
Y  0.000  0.000  0.000 [4 per cell]
Er  0.250  0.250  0.250 [8 per cell]
Sb  0.000  0.000  0.500 [4 per cell]

Mass density: 8.30 g/cm3
D(E_F): 4.3 states/eV/f.u.
Volume: 27.27 A^3/atom

=====

--- x ---
The following is a DFT calculation (GGA-PBE) of a geometry-optimized YEr2Sb structure.

Cell lengths 4.012, 4.012, 7.060 Å; angles 90.00, 90.00, 90.00 degrees
Space group P4/mmm (No. 123)
Unique sites:
Y  0.000  0.000  0.000 [1 per cell]
Er  0.500  0.500  0.273 [2 per cell]
Sb  0.000  0.000  0.500 [1 per cell]

Mass density: 7.97 g/cm3
D(E_F): 5.2 states/eV/f.u.
Volume: 28.40 A^3/atom

=====

--- y ---
The following is a DFT calculation (GGA-PBE) of a geometry-optimized YEr2Sb structure.

Cell lengths 3.9804, 3.9804, 28.2393 Å; angles 90.00, 90.00, 120.00 degrees
Space group R3m (No. 160, hexagonal axes)
Unique sites:
Y  0.0000  0.0000  0.0000 [3 per cell]
Er  0.0000  0.0000  0.2350 [3 per cell]
Er  0.0000  0.0000  0.4327 [3 per cell]
Sb  0.0000  0.0000  0.8344 [3 per cell]

Mass density: 7.01 g/cm3
D(E_F): 4.5 states/eV/f.u.
Volume: 32.29 A^3/atom

=====

Order of stability, best first: x, y, w

=====

--- w ---
The following is a DFT calculation (GGA-PBE) of a geometry-optimized YEr2Sb structure.

Cell lengths 4.750, 4.750, 4.794 Å; angles 90.00, 90.00, 90.00 degrees
Space group P4/mmm (No. 123)
Unique sites:
Y  0.000  0.000  0.000 [1 per cell]
Er  0.000  0.500  0.500 [2 per cell]
Sb  0.500  0.500  0.000 [1 per cell]

Mass density: 8.37 g/cm3
D(E_F): 5.4 states/eV/f.u.
Volume: 27.04 A^3/atom

=====

--- x ---
The following is a DFT calculation (GGA-PBE) of a geometry-optimized YEr2Sb structure.

Cell lengths 4.124, 12.134, 9.443 Å; angles 90.00, 90.00, 90.00 degrees
Space group Cmcm (No. 63)
Unique sites:
Y  0.000  0.058  0.250 [4 per cell]
Er  0.000  0.364  0.048 [8 per cell]
Sb  0.000  0.241  0.750 [4 per cell]

Mass density: 7.66 g/cm3
D(E_F): 5.4 states/eV/f.u.
Volume: 29.53 A^3/atom

=====

Order of stability, best first: x, w